(1)
Computed, not measured: a relaxed structure of YCoTe2 at the PBE level of DFT. Values from VASP.

Calculated values
The calculation puts the density of states at the Fermi level at 5.4 states/eV per cell. The total energy comes out at -21.210 eV for the cell shown.

Geometry as Quantum ESPRESSO input:
```
&SYSTEM
  ibrav = 0, nat = 4, ntyp = 3
/
ATOMIC_SPECIES
Y 88.91 Y.upf
Co 58.93 Co.upf
Te 127.60 Te.upf
CELL_PARAMETERS angstrom
4.958 0.000 0.000
0.000 4.958 0.000
0.000 0.000 3.723
ATOMIC_POSITIONS crystal
Y 0.000 0.000 0.000
Co 0.500 0.500 0.000
Te 0.000 0.500 0.500
Te 0.500 0.000 0.500
```

=====

(2)
Computed, not measured: a relaxed structure of Y2CoTe at the PBE level of DFT. Values from VASP.

Calculated values
The calculation puts the density of states at the Fermi level at 3.2 states/eV per cell. The total energy comes out at -25.772 eV for the cell shown.

Geometry as Quantum ESPRESSO input:
```
&SYSTEM
  ibrav = 0, nat = 4, ntyp = 3
/
ATOMIC_SPECIES
Y 88.91 Y.upf
Co 58.93 Co.upf
Te 127.60 Te.upf
CELL_PARAMETERS angstrom
4.096 0.000 0.000
0.000 4.129 0.000
-2.046 0.000 5.579
ATOMIC_POSITIONS crystal
Y 0.000 0.000 0.000
Y 0.299 0.500 0.598
Co 0.549 0.500 0.097
Te 0.709 0.000 0.419
```

=====

(3)
Computed, not measured: a relaxed structure of YCo2Te at the PBE level of DFT. Values from VASP.

Calculated values
The calculation puts the density of states at the Fermi level at 3.7 states/eV per cell. The total energy comes out at -23.832 eV for the cell shown.

Geometry as Quantum ESPRESSO input:
```
&SYSTEM
  ibrav = 0, nat = 4, ntyp = 3
/
ATOMIC_SPECIES
Y 88.91 Y.upf
Co 58.93 Co.upf
Te 127.60 Te.upf
CELL_PARAMETERS angstrom
-1.862 2.018 4.660
1.862 -2.018 4.660
1.862 2.018 -4.660
ATOMIC_POSITIONS crystal
Y 0.000 0.000 0.000
Co 0.261 0.761 0.500
Co 0.525 0.525 0.000
Te 0.741 0.241 0.500
```

=====

- Which of these has the lowest total energy?
  Y2CoTe

=====

- What is the formula in the third record?
  YCo2Te

=====

- Which of these has the lowest total energy?
  Y2CoTe